1.
Computed, not measured: NdAsO4 after structural relaxation at the PBEsol level of DFT.

Cell lengths 6.677, 7.103, 8.267 Å; angles 90.00, 126.17, 90.00 degrees
Space group P2_1/c (No. 14)
Inequivalent atoms, fractional coordinates:
1 Nd 0.185 0.151 0.281 (multiplicity 4)
2 As 0.310 0.662 0.198 (multiplicity 4)
3 O 0.103 0.655 0.606 (multiplicity 4)
4 O 0.169 0.006 0.746 (multiplicity 4)
5 O 0.352 0.608 0.017 (multiplicity 4)
6 O 0.388 0.213 0.114 (multiplicity 4)

Computed properties:
**Formation energy from raw total energies**: -2.337 eV/atom
**Polymorph energy (0 for the lowest one)**: 15.1 meV/atom
**D(E_F)**: 0.00 states/eV/atom

2.
Computed, not measured: NdAs12Os4 after structural relaxation at the PBEsol level of DFT.

Cell lengths 8.531, 8.531, 8.531 Å; angles 90.00, 90.00, 90.00 degrees
Space group Im-3 (No. 204)
Inequivalent atoms, fractional coordinates:
1 Nd 0.000 0.000 0.000 (multiplicity 2)
2 As 0.000 0.348 0.150 (multiplicity 24)
3 Os 0.250 0.250 0.250 (multiplicity 8)

Computed properties:
**D(E_F)**: 0.66 states/eV/atom
**Formation energy**: -0.36 eV per atom

3.
Computed, not measured: Rb8NdAs4S16 after structural relaxation at the PBEsol level of DFT.

Cell lengths 8.996, 10.216, 18.445 Å; angles 90.00, 90.00, 90.00 degrees
Space group I222 (No. 23)
Inequivalent atoms, fractional coordinates:
1 Rb 0.000 0.000 0.204 (multiplicity 4)
2 Rb 0.000 0.500 0.248 (multiplicity 4)
3 Rb 0.119 0.253 0.586 (multiplicity 8)
4 Nd 0.000 0.500 0.000 (multiplicity 2)
5 As 0.202 0.260 0.877 (multiplicity 8)
6 S 0.036 0.291 0.107 (multiplicity 8)
7 S 0.208 0.072 0.436 (multiplicity 8)
8 S 0.211 0.421 0.423 (multiplicity 8)
9 S 0.237 0.244 0.263 (multiplicity 8)

Computed properties:
**Formation energy from raw total energies**: -0.805 eV/atom
**D(E_F)**: 0.46 states/eV/atom

4.
Computed, not measured: NdAsS after structural relaxation at the PBEsol level of DFT.

Cell lengths 7.147, 3.830, 9.636 Å; angles 90.00, 90.00, 90.00 degrees
Space group Pnma (No. 62)
Inequivalent atoms, fractional coordinates:
1 Nd 0.199 0.250 0.157 (multiplicity 4)
2 As 0.099 0.250 0.458 (multiplicity 4)
3 S 0.097 0.250 0.840 (multiplicity 4)

Computed properties:
**Formation energy from raw total energies**: -1.540 eV/atom
**D(E_F)**: 0.04 states/eV/atom

5.
Computed, not measured: Ni2As after structural relaxation at the PBEsol level of DFT.

Cell lengths 2.7950, 2.7950, 5.4482 Å; angles 90.00, 90.00, 120.00 degrees
Space group P-3m1 (No. 164)
Inequivalent atoms, fractional coordinates:
1 Ni 0.3333 0.6667 0.1741 (multiplicity 2)
2 As 0.0000 0.0000 0.5000 (multiplicity 1)

Computed properties:
**D(E_F)**: 0.96 states/eV/atom
**Formation energy**: 0.05 eV per atom

6.
Computed, not measured: NiAs3 after structural relaxation at the PBEsol level of DFT.

Cell lengths 3.297, 3.812, 10.690 Å; angles 90.00, 90.00, 90.00 degrees
Space group Immm (No. 71)
Inequivalent atoms, fractional coordinates:
1 Ni 0.000 0.000 0.000 (multiplicity 2)
2 As 0.000 0.000 0.500 (multiplicity 2)
3 As 0.000 0.500 0.323 (multiplicity 4)

Computed properties:
**D(E_F)**: 0.58 states/eV/atom
**Formation energy**: 0.10 eV per atom

7.
Computed, not measured: Ni3As after structural relaxation at the PBEsol level of DFT.

Cell lengths 3.420, 3.645, 7.115 Å; angles 90.00, 90.00, 90.00 degrees
Space group Immm (No. 71)
Inequivalent atoms, fractional coordinates:
1 Ni 0.000 0.000 0.000 (multiplicity 2)
2 Ni 0.000 0.500 0.240 (multiplicity 4)
3 As 0.000 0.000 0.500 (multiplicity 2)

Computed properties:
**D(E_F)**: 0.81 states/eV/atom
**Formation energy**: -0.17 eV per atom

8.
Computed, not measured: Ni2As after structural relaxation at the PBEsol level of DFT.

Cell lengths 3.523, 11.494, 3.509 Å; angles 90.00, 90.00, 90.00 degrees
Space group Cmcm (No. 63)
Inequivalent atoms, fractional coordinates:
1 Ni 0.000 0.079 0.250 (multiplicity 4)
2 Ni 0.000 0.253 0.750 (multiplicity 4)
3 As 0.000 0.391 0.250 (multiplicity 4)

Computed properties:
**D(E_F)**: 0.52 states/eV/atom
**Formation energy**: -0.21 eV per atom